Record 1
Ba2HfNbCr (GGA-PBEsol, optimized geometry); V = 156.61 Å³/cell; calculated formation energy = 1.513 eV per atom; M_tot = 5.39 μB/f.u.
1.0
5.723 0.000 0.000
0.000 5.723 0.000
0.000 0.000 4.781
Ba Hf Nb Cr
2 1 1 1
Cartesian
0.000 2.862 0.000 Ba
2.862 0.000 0.000 Ba
0.000 0.000 2.391 Hf
2.862 2.862 2.391 Nb
0.000 0.000 0.000 Cr



Record 2
Se3Br (GGA-PBEsol, optimized geometry); V = 101.39 Å³/cell; formation energy without anion corrections = 0.526 kcal/mol of atoms; M_tot = 0.00 μB/f.u.
1.0
4.956 0.000 0.000
0.000 3.751 0.000
-1.541 0.000 5.454
Se Br
3 1
Cartesian
0.000 0.000 0.000 Se
1.689 1.876 0.873 Se
1.726 1.876 4.581 Se
-0.770 0.000 2.727 Br



Record 3
Li2NiSnO4 (GGA-PBEsol, optimized geometry); V = 154.87 Å³/cell; formation energy without anion corrections = -35.856 kcal/mol of atoms; M_tot = 1.99 μB/f.u.
1.0
-3.011 3.063 4.198
3.011 -3.063 4.198
3.011 3.063 -4.198
Li Ni Sn O
4 2 2 8
Cartesian
0.000 0.000 0.000 Li
-1.506 1.531 2.099 Li
0.000 3.063 0.000 Li
1.506 1.531 2.099 Li
1.506 1.531 -2.099 Ni
1.506 -1.531 2.099 Ni
3.011 0.000 0.000 Sn
0.000 0.000 4.198 Sn
3.011 -0.089 2.039 O
3.011 2.973 -2.039 O
1.564 1.531 0.001 O
4.458 1.531 0.001 O
-1.447 1.531 4.198 O
1.447 1.531 4.198 O
0.000 0.089 6.238 O
0.000 3.152 2.159 O